DFT (PBE-GGA) results for an optimized crystal structure of Lu2OsRu.

Values from the calculation:
Total DFT energy (no corrections): -30.86 eV for the cell shown
Fermi-level density of states: 1.16 states/eV per atom
ΔH_f (0 K): -328.4 meV/atom

```
Lu2OsRu
1.0
-1.152 2.966 0.992
-0.923 -1.332 2.912
5.988 1.467 2.570
Os Lu Ru
1 2 1
direct
0.500 0.500 0.000 Os
0.000 0.000 0.250 Lu
0.000 0.000 0.750 Lu
0.500 0.500 0.500 Ru
```